Material: Zr6Be2Pb
Method: DFT, GGA-PBE
State: relaxed

```
Zr6Be2Pb
1.0
-4.2346 4.3071 4.9918
4.2346 -4.3071 4.9918
4.2346 4.3071 -4.9918
Zr Be Pb
12 4 2
Cartesian
4.2346 -2.5524 3.1142
2.3506 0.0000 2.4596
6.1186 0.0000 2.4596
2.5395 2.5204 0.0000
5.9296 2.5204 0.0000
0.0000 1.7546 1.8776
4.2346 2.5524 3.1142
-1.6950 1.7867 4.9918
1.6950 1.7867 4.9918
-1.8840 4.3071 2.5322
1.8840 4.3071 2.5322
0.0000 6.8595 1.8776
1.1780 0.0000 0.0000
7.2911 0.0000 0.0000
0.0000 0.0000 3.9031
0.0000 0.0000 6.0805
4.2346 0.0000 0.0000
0.0000 4.3071 0.0000
```

Calculated values
magnetization = 0.0 μB/f.u.
energy of formation = -0.1039 eV per atom